Density functional theory data (GGA-PBE) for KHf2Pt2 after structural relaxation.

Its formation enthalpy at 0 K is -46.5 kJ/mol of atoms. The value obtained for the energy above the most stable polymorph in this dataset is 82 meV/atom.

```
KHf2Pt2
1.0
8.442 0.000 0.000
0.000 8.442 0.000
0.000 0.000 2.922
K Hf Pt
2 4 4
Direct
0.000 0.000 0.000
0.500 0.500 0.000
0.138 0.362 0.000
0.362 0.862 0.000
0.638 0.138 0.000
0.862 0.638 0.000
0.154 0.654 0.500
0.346 0.154 0.500
0.654 0.846 0.500
0.846 0.346 0.500
```